# 1
Compound: MoW2Au
Source: Alexandria via LeMat-Bulk
Functional: PBE
Structure: optimized geometry

Lattice parameters (Å, degrees): 2.7944 2.7944 29.5020 90.00 90.00 120.00
With the nearest neighbours (Å) after each atom.
Space group R3m (No. 160, hexagonal axes)
Inequivalent atoms, fractional coordinates:
Mo1 0.0000 0.0000 0.0000 (multiplicity 3)  6 Mo 2.79, 3 Au 2.94, 3 W 2.94
W1 0.0000 0.0000 0.5001 (multiplicity 3)  9 W 2.79-2.94, 3 Au 2.94
W2 0.0000 0.0000 0.7499 (multiplicity 3)  9 W 2.79-2.94, 3 Mo 2.94
Au1 0.0000 0.0000 0.2501 (multiplicity 3)  6 Au 2.79, 3 Mo 2.94, 3 W 2.94

Properties
Formation energy: 9.68 kcal/mol of atoms
Calculated density: 16.49 g cm⁻³
Total moment: 0.00 μB per formula unit
Crystal system: trigonal



# 2
Compound: MoW2Au
Source: Alexandria via LeMat-Bulk
Functional: PBE
Structure: optimized geometry

Lattice parameters (Å, degrees): 5.6035 9.3658 2.7088 90.00 112.26 90.00
With the nearest neighbours (Å) after each atom.
Space group C2/m (No. 12)
Inequivalent atoms, fractional coordinates:
Mo1 0.0000 0.0000 0.0000 (multiplicity 2)  2 Mo 2.71, 4 W 2.80, 2 Au 2.80
W1 0.2500 0.2500 0.5000 (multiplicity 4)  4 W 2.71-2.80, 2 Mo 2.80, 2 Au 2.80
Au1 0.0000 0.5000 0.0000 (multiplicity 2)  2 Au 2.71, 4 W 2.80, 2 Mo 2.80

Properties
Formation energy: 7.93 kcal/mol of atoms
Calculated density: 16.67 g cm⁻³
Total moment: 0.00 μB per formula unit
Crystal system: monoclinic



# 3
Compound: Mo3WAu
Source: Alexandria via LeMat-Bulk
Functional: PBE
Structure: optimized geometry

Lattice parameters (Å, degrees): 4.7360 4.7360 4.7360 90.00 90.00 90.00
With the nearest neighbours (Å) after each atom.
Space group Pm-3m (No. 221)
Inequivalent atoms, fractional coordinates:
Mo1 0.0000 0.0000 0.5000 (multiplicity 3)  2 W 2.37
W1 0.0000 0.0000 0.0000 (multiplicity 1)  6 Mo 2.37
Au1 0.5000 0.5000 0.5000 (multiplicity 1)  12 Mo 3.35

Properties
Formation energy: 40.19 kcal/mol of atoms
Calculated density: 10.45 g cm⁻³
Total moment: 0.00 μB per formula unit
Crystal system: cubic



# 4
Compound: MoWAu4
Source: Alexandria via LeMat-Bulk
Functional: PBE
Structure: optimized geometry

Lattice parameters (Å, degrees): 7.5425 7.5425 7.5425 90.00 90.00 90.00
With the nearest neighbours (Å) after each atom.
Space group F-43m (No. 216)
Inequivalent atoms, fractional coordinates:
Mo1 0.0000 0.0000 0.0000 (multiplicity 4)  12 Au 3.13, 4 W 3.27
W1 0.2500 0.2500 0.7500 (multiplicity 4)  12 Au 3.13, 4 Mo 3.27
Au1 0.1250 0.1250 0.3750 (multiplicity 16)  6 Au 2.67

Properties
Formation energy: 18.88 kcal/mol of atoms
Calculated density: 16.53 g cm⁻³
Total moment: 0.22 μB per formula unit
Crystal system: cubic



# 5
Compound: MoW3Au
Source: Alexandria via LeMat-Bulk
Functional: PBE
Structure: optimized geometry

Lattice parameters (Å, degrees): 4.7709 4.7709 4.7709 90.00 90.00 90.00
With the nearest neighbours (Å) after each atom.
Space group Pm-3m (No. 221)
Inequivalent atoms, fractional coordinates:
Mo1 0.0000 0.0000 0.0000 (multiplicity 1)  12 W 3.37
W1 0.0000 0.5000 0.5000 (multiplicity 3)  2 Au 2.39
Au1 0.5000 0.5000 0.5000 (multiplicity 1)  6 W 2.39

Properties
Formation energy: 66.48 kcal/mol of atoms
Calculated density: 12.91 g cm⁻³
Total moment: 0.00 μB per formula unit
Crystal system: cubic



# 6
Compound: MoWAu3
Source: Alexandria via LeMat-Bulk
Functional: PBE
Structure: optimized geometry

Lattice parameters (Å, degrees): 5.0300 5.0300 5.0300 90.00 90.00 90.00
With the nearest neighbours (Å) after each atom.
Space group Pm-3m (No. 221)
Inequivalent atoms, fractional coordinates:
Mo1 0.0000 0.0000 0.0000 (multiplicity 1)  12 Au 3.56
W1 0.5000 0.5000 0.5000 (multiplicity 1)  6 Au 2.51
Au1 0.0000 0.5000 0.5000 (multiplicity 3)  2 W 2.51

Properties
Formation energy: 39.51 kcal/mol of atoms
Calculated density: 11.36 g cm⁻³
Total moment: 4.32 μB per formula unit
Crystal system: cubic



# 7
Compound: MoW2Au
Source: Alexandria via LeMat-Bulk
Functional: PBE
Structure: optimized geometry

Lattice parameters (Å, degrees): 2.7176 4.6517 5.2494 90.00 96.81 90.00
With the nearest neighbours (Å) after each atom.
Space group P2/m (No. 10)
Inequivalent atoms, fractional coordinates:
Mo1 0.0000 0.0000 0.0000 (multiplicity 1)  2 Mo 2.72, 4 W 2.77, 2 Au 2.81
W1 0.2480 0.5000 0.7569 (multiplicity 2)  5 W 2.72-3.02, 2 Mo 2.77, 2 Au 2.81
Au1 0.5000 0.0000 0.5000 (multiplicity 1)  2 Au 2.72, 2 Mo 2.81, 4 W 2.81

Properties
Formation energy: 7.71 kcal/mol of atoms
Calculated density: 16.65 g cm⁻³
Total moment: 0.00 μB per formula unit
Crystal system: monoclinic



# 8
Compound: MoW2Au
Source: Alexandria via LeMat-Bulk
Functional: PBE
Structure: optimized geometry

Lattice parameters (Å, degrees): 3.3223 3.3223 5.9787 90.00 90.00 90.00
With the nearest neighbours (Å) after each atom.
Space group P4mm (No. 99)
Inequivalent atoms, fractional coordinates:
Mo1 0.0000 0.0000 0.0000 (multiplicity 1)  5 W 2.73-2.81, 4 Au 2.84
W1 0.0000 0.0000 0.4701 (multiplicity 1)  4 W 2.74, 1 Mo 2.81, 4 Au 2.83
W2 0.5000 0.5000 0.2335 (multiplicity 1)  4 Mo 2.73, 4 W 2.74, 2 Au 2.98-2.99
Au1 0.5000 0.5000 0.7342 (multiplicity 1)  6 W 2.83-2.99, 4 Mo 2.84

Properties
Formation energy: 7.29 kcal/mol of atoms
Calculated density: 16.62 g cm⁻³
Total moment: 0.00 μB per formula unit
Crystal system: tetragonal



# 9
Compound: YMo2Au
Source: Alexandria via LeMat-Bulk
Functional: PBE
Structure: optimized geometry

Lattice parameters (Å, degrees): 2.9382 2.9382 30.2466 90.00 90.00 120.00
With the nearest neighbours (Å) after each atom.
Space group R-3m (No. 166, hexagonal axes)
Inequivalent atoms, fractional coordinates:
Y1 0.0000 0.0000 0.0000 (multiplicity 3)  6 Y 2.94, 6 Mo 3.20
Mo1 0.0000 0.0000 0.2437 (multiplicity 6)  3 Au 2.88, 6 Mo 2.94, 3 Y 3.20
Au1 0.0000 0.0000 0.5000 (multiplicity 3)  6 Mo 2.88, 6 Au 2.94

Properties
Formation energy: 15.01 kcal/mol of atoms
Calculated density: 10.52 g cm⁻³
Total moment: 0.00 μB per formula unit
Crystal system: trigonal



# 10
Compound: Y2MoAu
Source: Alexandria via LeMat-Bulk
Functional: PBE
Structure: optimized geometry

Lattice parameters (Å, degrees): 4.2600 4.2600 9.8170 90.00 90.00 90.00
With the nearest neighbours (Å) after each atom.
Space group I-4m2 (No. 119)
Inequivalent atoms, fractional coordinates:
Y1 0.0000 0.0000 0.0000 (multiplicity 2)  4 Mo 3.01, 4 Au 3.25, 4 Y 3.25
Y2 0.0000 0.5000 0.2500 (multiplicity 2)  4 Au 3.01, 4 Mo 3.25, 4 Y 3.25
Mo1 0.0000 0.0000 0.5000 (multiplicity 2)  8 Y 3.01-3.25, 4 Au 3.25
Au1 0.0000 0.5000 0.7500 (multiplicity 2)  8 Y 3.01-3.25, 4 Mo 3.25

Properties
Formation energy: 0.92 kcal/mol of atoms
Calculated density: 8.78 g cm⁻³
Total moment: 0.00 μB per formula unit
Crystal system: tetragonal



# 11
Compound: YMo2Au
Source: Alexandria via LeMat-Bulk
Functional: PBE
Structure: optimized geometry

Lattice parameters (Å, degrees): 6.6604 6.6604 6.6604 90.00 90.00 90.00
With the nearest neighbours (Å) after each atom.
Space group Fm-3m (No. 225)
Inequivalent atoms, fractional coordinates:
Y1 0.0000 0.0000 0.0000 (multiplicity 4)  8 Mo 2.88
Mo1 0.2500 0.2500 0.2500 (multiplicity 8)  4 Y 2.88, 4 Au 2.88
Au1 0.0000 0.0000 0.5000 (multiplicity 4)  8 Mo 2.88

Properties
Formation energy: 14.41 kcal/mol of atoms
Calculated density: 10.74 g cm⁻³
Total moment: 0.00 μB per formula unit
Crystal system: cubic



# 12
Compound: Y2MoAu
Source: Alexandria via LeMat-Bulk
Functional: PBE
Structure: optimized geometry

Lattice parameters (Å, degrees): 3.8659 3.8659 6.2265 90.00 90.00 90.00
With the nearest neighbours (Å) after each atom.
Space group P4mm (No. 99)
Inequivalent atoms, fractional coordinates:
Y1 0.0000 0.0000 0.0000 (multiplicity 1)  1 Au 2.89, 4 Mo 2.94
Y2 0.5000 0.5000 0.3483 (multiplicity 1)  4 Au 2.97, 2 Mo 2.99-3.24
Mo1 0.5000 0.5000 0.8282 (multiplicity 1)  6 Y 2.94-3.24, 4 Au 3.28
Au1 0.0000 0.0000 0.5357 (multiplicity 1)  5 Y 2.89-2.97

Properties
Formation energy: 2.36 kcal/mol of atoms
Calculated density: 8.40 g cm⁻³
Total moment: 0.00 μB per formula unit
Crystal system: tetragonal